No. 1
A plane-wave DFT calculation with PBE was carried out for crystalline Zr2CoAg at its relaxed geometry.

The structure in extended XYZ format:
```
4
Lattice="3.343 -3.348 0.000 3.343 3.348 0.000 0.000 0.000 3.299" Properties=species:S:1:pos:R:3 pbc="T T T"
Zr 1.671 1.674 0.000
Zr 1.671 -1.674 0.000
Co 0.000 0.000 1.649
Ag 3.343 0.000 1.649
```

Summary:
M_tot: 0.1575 μB/atom
symmetry: Cmmm (65)
offset from the most stable computed form: 101.9 meV/atom
density of states at the Fermi level: 0.95 states/eV per atom
E: -6.7982 eV per atom
theoretical density: 7.9 Mg/m³
energy of formation from the pure elements: -0.0349 eV/atom

No. 2
A plane-wave DFT calculation with PBE was carried out for crystalline Zr3CoAg at its relaxed geometry.

The structure in extended XYZ format:
```
5
Lattice="4.822 0.000 0.000 0.000 4.822 0.000 0.000 0.000 4.822" Properties=species:S:1:pos:R:3 pbc="T T T"
Zr 0.000 0.000 2.411
Zr 0.000 2.411 0.000
Zr 2.411 0.000 0.000
Co 0.000 0.000 0.000
Ag 2.411 2.411 2.411
```

Summary:
M_tot: 0.0000 μB/atom
symmetry: Pm-3m (221)
offset from the most stable computed form: 323.1 meV/atom
density of states at the Fermi level: 1.84 states/eV per atom
E: -6.8894 eV per atom
theoretical density: 6.5 Mg/m³
energy of formation from the pure elements: 0.2309 eV/atom

No. 3
A plane-wave DFT calculation with PBE was carried out for crystalline ZrCo2Ag at its relaxed geometry.

The structure in extended XYZ format:
```
4
Lattice="1.425 0.822 8.984 -1.425 0.822 8.984 0.000 -1.645 8.984" Properties=species:S:1:pos:R:3 pbc="T T T"
Zr 0.000 0.000 0.000
Co 0.000 0.000 13.064
Co 0.000 0.000 20.328
Ag 0.000 0.000 6.334
```

Summary:
M_tot: 0.8533 μB/atom
symmetry: R3m (160)
offset from the most stable computed form: 314.6 meV/atom
density of states at the Fermi level: 1.11 states/eV per atom
E: -6.0827 eV per atom
theoretical density: 8.3 Mg/m³
energy of formation from the pure elements: 0.3200 eV/atom

No. 4
A plane-wave DFT calculation with PBE was carried out for crystalline ZrCo2Ag at its relaxed geometry.

The structure in extended XYZ format:
```
4
Lattice="3.886 0.000 0.000 0.000 1.633 4.921 0.000 -1.633 4.921" Properties=species:S:1:pos:R:3 pbc="T T T"
Zr 0.000 0.000 0.000
Co 0.000 0.000 2.758
Co 1.943 0.000 3.994
Ag 1.943 0.000 6.721
```

Summary:
M_tot: 0.3846 μB/atom
symmetry: Amm2 (38)
offset from the most stable computed form: 97.3 meV/atom
density of states at the Fermi level: 1.28 states/eV per atom
E: -6.3001 eV per atom
theoretical density: 8.4 Mg/m³
energy of formation from the pure elements: 0.1027 eV/atom

No. 5
A plane-wave DFT calculation with PBE was carried out for crystalline ZrCoAg at its relaxed geometry.

The structure in extended XYZ format:
```
3
Lattice="0.000 3.117 3.117 3.117 0.000 3.117 3.117 3.117 0.000" Properties=species:S:1:pos:R:3 pbc="T T T"
Zr 0.000 0.000 0.000
Co 1.559 1.559 1.559
Ag 4.676 4.676 4.676
```

Summary:
M_tot: 0.0000 μB/atom
symmetry: F-43m (216)
offset from the most stable computed form: 811.8 meV/atom
density of states at the Fermi level: 0.24 states/eV per atom
E: -5.5569 eV per atom
theoretical density: 7.1 Mg/m³
energy of formation from the pure elements: 0.6115 eV/atom

No. 6
A plane-wave DFT calculation with PBE was carried out for crystalline Zr3CoAg at its relaxed geometry.

The structure in extended XYZ format:
```
10
Lattice="4.611 -3.092 0.000 4.611 3.092 0.000 -3.610 0.000 7.110" Properties=species:S:1:pos:R:3 pbc="T T T"
Zr -0.523 0.000 1.603
Zr 0.182 0.000 4.992
Zr 2.432 0.000 0.781
Zr 3.181 0.000 6.329
Zr 5.430 0.000 2.118
Zr 6.136 0.000 5.506
Co 4.611 1.251 0.000
Co 4.611 -1.251 0.000
Ag 2.806 1.340 3.555
Ag 2.806 -1.340 3.555
```

Summary:
M_tot: 0.0000 μB/atom
symmetry: C2/m (12)
offset from the most stable computed form: 0.0 meV/atom
density of states at the Fermi level: 1.02 states/eV per atom
E: -7.2125 eV per atom
theoretical density: 7.2 Mg/m³
energy of formation from the pure elements: -0.0922 eV/atom

No. 7
A plane-wave DFT calculation with PBE was carried out for crystalline Zr4CoAg at its relaxed geometry.

The structure in extended XYZ format:
```
6
Lattice="0.000 3.984 3.984 3.984 0.000 3.984 3.984 3.984 0.000" Properties=species:S:1:pos:R:3 pbc="T T T"
Zr 2.995 2.995 2.995
Zr 4.974 4.974 2.995
Zr 4.974 2.995 4.974
Zr 2.995 4.974 4.974
Co 5.976 5.976 5.976
Ag 0.000 0.000 0.000
```

Summary:
M_tot: 0.2208 μB/atom
symmetry: F-43m (216)
offset from the most stable computed form: 744.1 meV/atom
density of states at the Fermi level: 1.47 states/eV per atom
E: -6.7500 eV per atom
theoretical density: 7.0 Mg/m³
energy of formation from the pure elements: 0.6083 eV/atom

No. 8
A plane-wave DFT calculation with PBE was carried out for crystalline ZrCoAg at its relaxed geometry.

The structure in extended XYZ format:
```
3
Lattice="4.516 0.000 0.000 -2.258 3.911 0.000 0.000 0.000 2.850" Properties=species:S:1:pos:R:3 pbc="T T T"
Zr 0.000 0.000 0.000
Co 0.000 2.607 2.014
Ag 2.258 1.304 1.248
```

Summary:
M_tot: 0.1980 μB/atom
symmetry: P3m1 (156)
offset from the most stable computed form: 323.4 meV/atom
density of states at the Fermi level: 0.73 states/eV per atom
E: -6.0453 eV per atom
theoretical density: 8.5 Mg/m³
energy of formation from the pure elements: 0.1231 eV/atom

No. 9
A plane-wave DFT calculation with PBE was carried out for crystalline Zr2CoAg at its relaxed geometry.

The structure in extended XYZ format:
```
8
Lattice="-3.686 3.686 2.822 3.686 -3.686 2.822 3.686 3.686 -2.822" Properties=species:S:1:pos:R:3 pbc="T T T"
Zr 5.530 1.519 -0.706
Zr 1.519 1.843 0.706
Zr -1.843 2.168 2.117
Zr 2.168 1.843 3.528
Co 0.000 0.000 0.000
Co 0.000 3.686 1.411
Ag 3.686 0.000 1.411
Ag 0.000 0.000 2.822
```

Summary:
M_tot: 0.0000 μB/atom
symmetry: I-42d (122)
offset from the most stable computed form: 324.7 meV/atom
density of states at the Fermi level: 0.47 states/eV per atom
E: -6.5754 eV per atom
theoretical density: 7.6 Mg/m³
energy of formation from the pure elements: 0.1879 eV/atom

No. 10
A plane-wave DFT calculation with PBE was carried out for crystalline ZrCo2Ag at its relaxed geometry.

The structure in extended XYZ format:
```
4
Lattice="-1.820 1.991 4.158 1.820 -1.991 4.158 1.820 1.991 -4.158" Properties=species:S:1:pos:R:3 pbc="T T T"
Zr 0.000 0.000 0.000
Co 0.000 0.000 4.302
Co 0.000 1.991 1.970
Ag 1.820 0.000 2.165
```

Summary:
M_tot: 0.4021 μB/atom
symmetry: Imm2 (44)
offset from the most stable computed form: 55.2 meV/atom
density of states at the Fermi level: 1.00 states/eV per atom
E: -6.3421 eV per atom
theoretical density: 8.7 Mg/m³
energy of formation from the pure elements: 0.0607 eV/atom

No. 11
A plane-wave DFT calculation with PBE was carried out for crystalline Zr2CoAg at its relaxed geometry.

The structure in extended XYZ format:
```
4
Lattice="-2.005 2.005 4.510 2.005 -2.005 4.510 2.005 2.005 -4.510" Properties=species:S:1:pos:R:3 pbc="T T T"
Zr 0.000 0.000 0.000
Zr 0.000 2.005 2.255
Co 0.000 0.000 4.510
Ag 2.005 0.000 2.255
```

Summary:
M_tot: 0.0003 μB/atom
symmetry: I-4m2 (119)
offset from the most stable computed form: 220.6 meV/atom
density of states at the Fermi level: 1.24 states/eV per atom
E: -6.6795 eV per atom
theoretical density: 8.0 Mg/m³
energy of formation from the pure elements: 0.0838 eV/atom

No. 12
A plane-wave DFT calculation with PBE was carried out for crystalline ZrCo2Ag at its relaxed geometry.

The structure in extended XYZ format:
```
4
Lattice="0.000 3.096 3.096 3.096 0.000 3.096 3.096 3.096 0.000" Properties=species:S:1:pos:R:3 pbc="T T T"
Zr 0.000 0.000 0.000
Co 1.548 1.548 1.548
Co 4.643 4.643 4.643
Ag 3.096 3.096 3.096
```

Summary:
M_tot: 0.1376 μB/atom
symmetry: Fm-3m (225)
offset from the most stable computed form: 58.8 meV/atom
density of states at the Fermi level: 2.13 states/eV per atom
E: -6.3386 eV per atom
theoretical density: 8.9 Mg/m³
energy of formation from the pure elements: 0.0642 eV/atom

> Which formula does entry 11 have?

Zr2CoAg